Here is a geometry-optimized CsMnN3 structure from Alexandria. Energies are from PBE.

Computed properties:
Calculated volume = 15.72 A^3/atom
Formation energy (no corrections) = 3.044 eV per atom
Density = 4.86 Mg/m³
E = -3.9555 eV per atom

Cell lengths 4.284, 4.284, 4.284 Å; angles 90.00, 90.00, 90.00 degrees
Space group Pm-3m (No. 221)
Inequivalent atoms, fractional coordinates:
Cs 0.000 0.000 0.000 (multiplicity 1)
Mn 0.500 0.500 0.500 (multiplicity 1)
N 0.000 0.000 0.500 (multiplicity 3)